The following is a PBE calculation of crystalline Li2IrO5 at its relaxed geometry, from Alexandria via LeMat-Bulk.

Cell lengths 5.4838, 5.4838, 10.0930 Å; angles 90.00, 90.00, 139.62 degrees
Fractional coordinates of all 16 atoms:
1 Li 0.1273 0.8727 0.5626
2 Li 0.1273 0.8727 0.9374
3 Li 0.8727 0.1273 0.0626
4 Li 0.8727 0.1273 0.4374
5 Ir 0.1878 0.8122 0.2500
6 Ir 0.8122 0.1878 0.7500
7 O 0.0549 0.9451 0.1243
8 O 0.0549 0.9451 0.3757
9 O 0.2992 0.7008 0.7500
10 O 0.3088 0.6912 0.1112
11 O 0.3088 0.6912 0.3888
12 O 0.6912 0.3088 0.6112
13 O 0.6912 0.3088 0.8888
14 O 0.7008 0.2992 0.2500
15 O 0.9451 0.0549 0.6243
16 O 0.9451 0.0549 0.8757

Properties
Magnetic moment   1.00 μB/f.u.
Energy relative to the lowest polymorph listed for this composition   0.0816 eV per atom